Below is an optimized crystal structure of NaY2HgH, with properties calculated at the GGA-PBE level.

Cell: 4.884 4.884 4.510 Å, 90.00 90.00 90.00°
Atoms (fractional coordinates):
Na (0.000, 0.000, 0.000)
Y (0.000, 0.500, 0.500)
Y (0.500, 0.000, 0.500)
Hg (0.500, 0.500, 0.000)
H (0.000, 0.000, 0.500)

## Properties
E_tot: -3.7926 eV per atom
calculated volume: 21.5 A^3/atom